No. 1
# LiNpAg2F8, relaxed, DFT PBE
# Calculated density in g/cm3: 5.0
# Formation energy without anion corrections in kJ/mol of formula units: -2803.7
data_LiNpAg2F8
_space_group_name_H-M_alt 'P -1'
_space_group_IT_number 2
_cell_length_a 5.318
_cell_length_b 5.394
_cell_length_c 7.154
_cell_angle_alpha 87.64
_cell_angle_beta 87.15
_cell_angle_gamma 84.21
loop_
_space_group_symop_operation_xyz
'x,y,z'
'-x,-y,-z'
loop_
_atom_site_label
_atom_site_fract_x
_atom_site_fract_y
_atom_site_fract_z
Li1 0.000 0.000 0.000
Np1 0.000 0.000 0.500
Ag1 0.480 0.484 0.790
F1 0.182 0.160 0.711
F2 0.201 0.180 0.289
F3 0.249 0.740 0.003
F4 0.284 0.695 0.499

***

No. 2
# LiAgOF2, relaxed, DFT PBE
# Calculated density in g/cm3: 3.7
# Formation energy without anion corrections in kJ/mol of formula units: -487.5
data_LiAgOF2
_space_group_name_H-M_alt 'P 4/m m m'
_space_group_IT_number 123
_space_group_name_Hall '-P 4 2'
_cell_length_a 4.384
_cell_length_b 4.384
_cell_length_c 3.965
_cell_angle_alpha 90.00
_cell_angle_beta 90.00
_cell_angle_gamma 90.00
loop_
_atom_site_label
_atom_site_fract_x
_atom_site_fract_y
_atom_site_fract_z
Li1 0.000 0.000 0.000
Ag1 0.500 0.500 0.500
O1 0.500 0.500 0.000
F1 0.000 0.500 0.500

***

No. 3
# LiAgOF2, relaxed, DFT PBE
# Calculated density in g/cm3: 5.3
# Formation energy without anion corrections in kJ/mol of formula units: -444.3
data_LiAgOF2
_space_group_name_H-M_alt 'P 4/m m m'
_space_group_IT_number 123
_space_group_name_Hall '-P 4 2'
_cell_length_a 3.629
_cell_length_b 3.629
_cell_length_c 4.052
_cell_angle_alpha 90.00
_cell_angle_beta 90.00
_cell_angle_gamma 90.00
loop_
_atom_site_label
_atom_site_fract_x
_atom_site_fract_y
_atom_site_fract_z
Li1 0.000 0.000 0.000
Ag1 0.500 0.500 0.500
O1 0.000 0.000 0.500
F1 0.000 0.500 0.000

***

No. 4
# Li2AgOsF8, relaxed, DFT PBE
# Calculated density in g/cm3: 4.7
# Formation energy without anion corrections in kJ/mol of formula units: -2335.9
data_Li2AgOsF8
_space_group_name_H-M_alt 'P -1'
_space_group_IT_number 2
_cell_length_a 4.727
_cell_length_b 4.735
_cell_length_c 7.348
_cell_angle_alpha 89.86
_cell_angle_beta 89.86
_cell_angle_gamma 84.87
loop_
_space_group_symop_operation_xyz
'x,y,z'
'-x,-y,-z'
loop_
_atom_site_label
_atom_site_fract_x
_atom_site_fract_y
_atom_site_fract_z
Li1 0.001 0.001 0.312
Ag1 0.500 0.500 0.500
Os1 0.500 0.500 0.000
F1 0.189 0.188 0.500
F2 0.229 0.226 0.001
F3 0.292 0.705 0.193
F4 0.292 0.706 0.807

***

No. 5
# LiPaAgF6, relaxed, DFT PBE
# Calculated density in g/cm3: 5.2
# Formation energy without anion corrections in kJ/mol of formula units: -2576.8
data_LiPaAgF6
_space_group_name_H-M_alt 'P -3 1 c'
_space_group_IT_number 163
_space_group_name_Hall '-P 3 2c'
_cell_length_a 5.7430
_cell_length_b 5.7430
_cell_length_c 10.1843
_cell_angle_alpha 90.00
_cell_angle_beta 90.00
_cell_angle_gamma 120.00
loop_
_atom_site_label
_atom_site_fract_x
_atom_site_fract_y
_atom_site_fract_z
Li1 0.3333 0.6667 0.2500
Pa1 0.3333 0.6667 0.7500
Ag1 0.0000 0.0000 0.0000
F1 0.0146 0.3691 0.1392

***

No. 6
# LiAgPbF6, relaxed, DFT PBE
# Calculated density in g/cm3: 5.3
# Formation energy without anion corrections in kJ/mol of formula units: -1717.3
data_LiAgPbF6
_space_group_name_H-M_alt 'P 42 n m'
_space_group_IT_number 102
_cell_length_a 5.157
_cell_length_b 5.157
_cell_length_c 10.275
_cell_angle_alpha 90.00
_cell_angle_beta 90.00
_cell_angle_gamma 90.00
loop_
_space_group_symop_operation_xyz
'x,y,z'
'-y+1/2,x+1/2,z+1/2'
'-x,-y,z'
'y+1/2,-x+1/2,z+1/2'
'-x+1/2,y+1/2,z+1/2'
'y,x,z'
'x+1/2,-y+1/2,z+1/2'
'-y,-x,z'
loop_
_atom_site_label
_atom_site_fract_x
_atom_site_fract_y
_atom_site_fract_z
Li1 0.000 0.000 0.000
Ag1 0.000 0.000 0.328
Pb1 0.000 0.000 0.660
F1 0.180 0.180 0.825
F2 0.209 0.209 0.145
F3 0.212 0.212 0.517

***

No. 7
# LiAgPb2F6, relaxed, DFT PBE
# Calculated density in g/cm3: 6.7
# Formation energy without anion corrections in kJ/mol of formula units: -2107.0
data_LiAgPb2F6
_space_group_name_H-M_alt 'P -1'
_space_group_IT_number 2
_cell_length_a 5.831
_cell_length_b 5.840
_cell_length_c 5.846
_cell_angle_alpha 65.86
_cell_angle_beta 65.08
_cell_angle_gamma 66.30
loop_
_space_group_symop_operation_xyz
'x,y,z'
'-x,-y,-z'
loop_
_atom_site_label
_atom_site_fract_x
_atom_site_fract_y
_atom_site_fract_z
Li1 0.000 0.000 0.000
Ag1 0.500 0.500 0.500
Pb1 0.227 0.227 0.226
F1 0.130 0.335 0.823
F2 0.176 0.876 0.664
F3 0.329 0.831 0.123

***

No. 8
# Li2AgPbF8, relaxed, DFT PBE
# Calculated density in g/cm3: 4.9
# Formation energy without anion corrections in kJ/mol of formula units: -2389.6
data_Li2AgPbF8
_space_group_name_H-M_alt 'P 1 2/m 1'
_space_group_IT_number 10
_cell_length_a 4.805
_cell_length_b 7.016
_cell_length_c 4.807
_cell_angle_alpha 90.00
_cell_angle_beta 90.48
_cell_angle_gamma 90.00
loop_
_space_group_symop_operation_xyz
'x,y,z'
'-x,-y,-z'
'-x,y,-z'
'x,-y,z'
loop_
_atom_site_label
_atom_site_fract_x
_atom_site_fract_y
_atom_site_fract_z
Li1 0.000 0.224 0.000
Ag1 0.500 0.000 0.500
Pb1 0.500 0.500 0.500
F1 0.194 0.000 0.193
F2 0.195 0.500 0.193
F3 0.292 0.273 0.707

***

No. 9
# LiAg2PdF4, relaxed, DFT PBE
# Calculated density in g/cm3: 5.8
# Formation energy without anion corrections in kJ/mol of formula units: -1030.3
data_LiAg2PdF4
_space_group_name_H-M_alt 'P 1'
_space_group_IT_number 1
_cell_length_a 5.206
_cell_length_b 5.329
_cell_length_c 5.331
_cell_angle_alpha 109.23
_cell_angle_beta 108.24
_cell_angle_gamma 109.28
loop_
_space_group_symop_operation_xyz
'x,y,z'
loop_
_atom_site_label
_atom_site_fract_x
_atom_site_fract_y
_atom_site_fract_z
Li1 0.000 0.000 0.000
Ag1 0.572 0.555 0.134
Ag2 0.746 0.249 0.508
Pd1 0.257 0.747 0.509
F1 0.038 0.005 0.367
F2 0.044 0.382 0.036
F3 0.360 0.019 0.970
F4 0.619 0.637 0.710

***

No. 10
# LiAg2PdF8, relaxed, DFT PBE
# Calculated density in g/cm3: 4.7
# Formation energy without anion corrections in kJ/mol of formula units: -1473.4
data_LiAg2PdF8
_space_group_name_H-M_alt 'I -4 m 2'
_space_group_IT_number 119
_space_group_name_Hall 'I -4 -2'
_cell_length_a 6.581
_cell_length_b 6.581
_cell_length_c 7.898
_cell_angle_alpha 90.00
_cell_angle_beta 90.00
_cell_angle_gamma 90.00
loop_
_atom_site_label
_atom_site_fract_x
_atom_site_fract_y
_atom_site_fract_z
Li1 0.000 0.000 0.000
Ag1 0.000 0.000 0.500
Ag2 0.000 0.500 0.750
Pd1 0.000 0.500 0.250
F1 0.000 0.200 0.269
F2 0.000 0.304 0.958

***

No. 11
# LiAgPdF6, relaxed, DFT PBE
# Calculated density in g/cm3: 4.5
# Formation energy without anion corrections in kJ/mol of formula units: -1454.3
data_LiAgPdF6
_space_group_name_H-M_alt 'P -3 1 c'
_space_group_IT_number 163
_space_group_name_Hall '-P 3 2c'
_cell_length_a 5.2900
_cell_length_b 5.2900
_cell_length_c 10.2048
_cell_angle_alpha 90.00
_cell_angle_beta 90.00
_cell_angle_gamma 120.00
loop_
_atom_site_label
_atom_site_fract_x
_atom_site_fract_y
_atom_site_fract_z
Li1 0.3333 0.6667 0.2500
Ag1 0.0000 0.0000 0.0000
Pd1 0.3333 0.6667 0.7500
F1 0.0150 0.3630 0.6424

***

No. 12
# LiAgPdF4, relaxed, DFT PBE
# Calculated density in g/cm3: 5.0
# Formation energy without anion corrections in kJ/mol of formula units: -980.9
data_LiAgPdF4
_space_group_name_H-M_alt 'P 1 21/m 1'
_space_group_IT_number 11
_cell_length_a 5.948
_cell_length_b 5.500
_cell_length_c 6.209
_cell_angle_alpha 90.00
_cell_angle_beta 104.43
_cell_angle_gamma 90.00
loop_
_space_group_symop_operation_xyz
'x,y,z'
'-x,-y,-z'
'-x,y+1/2,-z'
'x,-y+1/2,z'
loop_
_atom_site_label
_atom_site_fract_x
_atom_site_fract_y
_atom_site_fract_z
Li1 0.030 0.250 0.400
Ag1 0.413 0.750 0.403
Pd1 0.222 0.250 0.923
F1 0.141 0.750 0.084
F2 0.203 0.011 0.649
F3 0.293 0.250 0.273

***

No. 13
# Li2AgPdF8, relaxed, DFT PBE
# Calculated density in g/cm3: 4.2
# Formation energy without anion corrections in kJ/mol of formula units: -2093.8
data_Li2AgPdF8
_space_group_name_H-M_alt 'P 1 2/m 1'
_space_group_IT_number 10
_cell_length_a 4.715
_cell_length_b 6.795
_cell_length_c 4.731
_cell_angle_alpha 90.00
_cell_angle_beta 91.64
_cell_angle_gamma 90.00
loop_
_space_group_symop_operation_xyz
'x,y,z'
'-x,-y,-z'
'-x,y,-z'
'x,-y,z'
loop_
_atom_site_label
_atom_site_fract_x
_atom_site_fract_y
_atom_site_fract_z
Li1 0.000 0.243 0.000
Ag1 0.500 0.000 0.500
Pd1 0.500 0.500 0.500
F1 0.189 0.000 0.184
F2 0.207 0.500 0.200
F3 0.302 0.287 0.691

***

No. 14
# Li2AgPdF6, relaxed, DFT PBE
# Calculated density in g/cm3: 4.4
# Formation energy without anion corrections in kJ/mol of formula units: -1815.8
data_Li2AgPdF6
_space_group_name_H-M_alt 'P 1'
_space_group_IT_number 1
_cell_length_a 5.332
_cell_length_b 5.460
_cell_length_c 5.726
_cell_angle_alpha 89.99
_cell_angle_beta 65.05
_cell_angle_gamma 62.62
loop_
_space_group_symop_operation_xyz
'x,y,z'
loop_
_atom_site_label
_atom_site_fract_x
_atom_site_fract_y
_atom_site_fract_z
Li1 0.000 0.000 0.000
Li2 0.011 0.423 0.469
Ag1 0.456 0.243 0.834
Pd1 0.445 0.745 0.357
F1 0.259 0.526 0.575
F2 0.271 0.700 0.120
F3 0.604 0.986 0.146
F4 0.606 0.782 0.605
F5 0.941 0.338 0.170
F6 0.993 0.135 0.662

***

No. 15
# LiAgPd2F6, relaxed, DFT PBE
# Calculated density in g/cm3: 5.3
# Formation energy without anion corrections in kJ/mol of formula units: -1387.7
data_LiAgPd2F6
_space_group_name_H-M_alt 'R 3'
_space_group_IT_number 146
_space_group_name_Hall 'R 3'
_cell_length_a 5.6240
_cell_length_b 5.6240
_cell_length_c 15.1584
_cell_angle_alpha 90.00
_cell_angle_beta 90.00
_cell_angle_gamma 120.00
loop_
_atom_site_label
_atom_site_fract_x
_atom_site_fract_y
_atom_site_fract_z
Li1 0.0000 0.0000 0.0000
Ag1 0.0000 0.0000 0.4824
Pd1 0.0000 0.0000 0.2017
Pd2 0.0000 0.0000 0.6925
F1 0.0012 0.3431 0.9488
F2 0.0772 0.7233 0.7702

***

No. 16
# Li2Ag2PdF6, relaxed, DFT PBE
# Calculated density in g/cm3: 5.0
# Formation energy without anion corrections in kJ/mol of formula units: -1800.6
data_Li2Ag2PdF6
_space_group_name_H-M_alt 'C 1 2/m 1'
_space_group_IT_number 12
_cell_length_a 6.193
_cell_length_b 8.785
_cell_length_c 6.071
_cell_angle_alpha 90.00
_cell_angle_beta 115.94
_cell_angle_gamma 90.00
loop_
_space_group_symop_operation_xyz
'x,y,z'
'-x,-y,-z'
'-x,y,-z'
'x,-y,z'
'x+1/2,y+1/2,z'
'-x+1/2,-y+1/2,-z'
'-x+1/2,y+1/2,-z'
'x+1/2,-y+1/2,z'
loop_
_atom_site_label
_atom_site_fract_x
_atom_site_fract_y
_atom_site_fract_z
Li1 0.000 0.152 0.000
Ag1 0.000 0.335 0.500
Pd1 0.000 0.500 0.000
F1 0.178 0.000 0.241
F2 0.224 0.328 0.184

***

No. 17
# Li2PmAgF6, relaxed, DFT PBE
# Calculated density in g/cm3: 5.2
# Formation energy without anion corrections in kJ/mol of formula units: -2856.2
data_Li2PmAgF6
_space_group_name_H-M_alt 'P 1'
_space_group_IT_number 1
_cell_length_a 5.532
_cell_length_b 5.555
_cell_length_c 5.564
_cell_angle_alpha 90.70
_cell_angle_beta 119.37
_cell_angle_gamma 119.46
loop_
_space_group_symop_operation_xyz
'x,y,z'
loop_
_atom_site_label
_atom_site_fract_x
_atom_site_fract_y
_atom_site_fract_z
Li1 0.000 0.000 0.000
Li2 0.001 0.497 0.505
Pm1 0.555 0.775 0.279
Ag1 0.505 0.258 0.762
F1 0.117 0.743 0.247
F2 0.484 0.328 0.197
F3 0.485 0.695 0.834
F4 0.845 0.186 0.689
F5 0.973 0.783 0.689
F6 0.977 0.187 0.290

***

No. 18
# LiPmAg2F6, relaxed, DFT PBE
# Calculated density in g/cm3: 5.4
# Formation energy without anion corrections in kJ/mol of formula units: -2460.2
data_LiPmAg2F6
_space_group_name_H-M_alt 'P 1 21/c 1'
_space_group_IT_number 14
_cell_length_a 5.787
_cell_length_b 5.974
_cell_length_c 10.132
_cell_angle_alpha 90.00
_cell_angle_beta 122.76
_cell_angle_gamma 90.00
loop_
_space_group_symop_operation_xyz
'x,y,z'
'-x,-y,-z'
'-x,y+1/2,-z+1/2'
'x,-y+1/2,z+1/2'
loop_
_atom_site_label
_atom_site_fract_x
_atom_site_fract_y
_atom_site_fract_z
Li1 0.000 0.000 0.000
Pm1 0.500 0.000 0.500
Ag1 0.224 0.057 0.748
F1 0.131 0.215 0.441
F2 0.221 0.696 0.436
F3 0.363 0.045 0.243

***

No. 19
# LiAgPtF6, relaxed, DFT PBE
# Calculated density in g/cm3: 5.4
# Formation energy without anion corrections in kJ/mol of formula units: -1479.4
data_LiAgPtF6
_space_group_name_H-M_alt 'P -3 1 c'
_space_group_IT_number 163
_space_group_name_Hall '-P 3 2c'
_cell_length_a 5.3446
_cell_length_b 5.3446
_cell_length_c 10.4820
_cell_angle_alpha 90.00
_cell_angle_beta 90.00
_cell_angle_gamma 120.00
loop_
_atom_site_label
_atom_site_fract_x
_atom_site_fract_y
_atom_site_fract_z
Li1 0.3333 0.6667 0.2500
Ag1 0.0000 0.0000 0.0000
Pt1 0.3333 0.6667 0.7500
F1 0.0146 0.3650 0.6461

***

No. 20
# LiAg2PtF6, relaxed, DFT PBE
# Calculated density in g/cm3: 6.1
# Formation energy without anion corrections in kJ/mol of formula units: -1296.5
data_LiAg2PtF6
_space_group_name_H-M_alt 'P -3 m 1'
_space_group_IT_number 164
_space_group_name_Hall '-P 3 2"'
_cell_length_a 5.5644
_cell_length_b 5.5644
_cell_length_c 5.4138
_cell_angle_alpha 90.00
_cell_angle_beta 90.00
_cell_angle_gamma 120.00
loop_
_atom_site_label
_atom_site_fract_x
_atom_site_fract_y
_atom_site_fract_z
Li1 0.0000 0.0000 0.0000
Ag1 0.3333 0.6667 0.8973
Pt1 0.0000 0.0000 0.5000
F1 0.1595 0.3190 0.2379